# 1
The following is a DFT calculation (PBE-GGA) of a geometry-optimized UZnCo2Ge2 structure.

Lattice parameters (Å, degrees): 4.1204 4.1204 6.2801 90.00 90.00 120.00
Each line ends with the local moment (μB).
Atoms (fractional coordinates):
Ge 0.3333 0.6667 0.7821  0.00
Ge 0.6667 0.3333 0.2179  0.00
Zn 0.0000 0.0000 0.0000  0.00
Co 0.3333 0.6667 0.2252  0.21
Co 0.6667 0.3333 0.7748  0.21
U 0.0000 0.0000 0.5000  -1.04

Crystal system = trigonal
Calculated formation energy = -0.174 eV per atom
Space group = No. 164


# 2
The following is a DFT calculation (PBE-GGA) of a geometry-optimized AlCu2Mo structure.

Lattice parameters (Å, degrees): 4.8063 4.8063 2.6143 90.00 90.00 113.78
Atoms (fractional coordinates):
Cu 0.0000 0.0000 0.0000
Mo 0.5000 0.0000 0.5000
Cu 0.5000 0.5000 0.0000
Al 0.0000 0.5000 0.5000

Crystal system = orthorhombic
Calculated formation energy = 0.072 eV per atom
Space group = No. 65


Number 1: energy -0.45389 Ry per atom, total magnetic moment 0.689 μB per formula unit. Number 2: energy -0.41306 Ry per atom, total magnetic moment 0.000 μB per formula unit.